A relaxed structure of Be2CoBr. Source: Alexandria via LeMat-Bulk, functional PBE.

a = 4.1730 Å, b = 4.1730 Å, c = 2.9467 Å
α = 90.00°, β = 90.00°, γ = 109.79°
Positions (direct):
Be (0.0000, 0.5000, 0.0000)
Be (0.5000, 0.0000, 0.0000)
Co (0.0000, 0.0000, 0.5000)
Br (0.5000, 0.5000, 0.5000)

Formation energy without anion corrections ... 0.634 eV per atom
Space-group type ... Cmmm
DFT total energy ... -13.697 eV per cell

=====

A relaxed structure of B4Ir4Pd. Source: Alexandria via LeMat-Bulk, functional PBE.

a = 3.9950 Å, b = 5.6337 Å, c = 5.6761 Å
α = 94.41°, β = 104.68°, γ = 106.35°
Positions (direct):
B (0.0572, 0.3880, 0.4027)
B (0.2821, 0.9045, 0.1971)
B (0.7179, 0.0955, 0.8029)
B (0.9428, 0.6120, 0.5973)
Ir (0.1631, 0.9500, 0.8239)
Ir (0.4614, 0.7429, 0.4997)
Ir (0.5386, 0.2571, 0.5003)
Ir (0.8369, 0.0500, 0.1761)
Pd (0.0000, 0.5000, 0.0000)

Space-group type ... P-1
DFT total energy ... -69.136 eV per cell

=====

A relaxed structure of Ag2Ge2Te. Source: Alexandria via LeMat-Bulk, functional PBE.

a = 7.1223 Å, b = 7.1223 Å, c = 7.1223 Å
α = 146.65°, β = 146.65°, γ = 47.88°
Positions (direct):
Ag (0.1057, 0.1057, 0.0000)
Ag (0.8943, 0.8943, 0.0000)
Ge (0.2500, 0.7500, 0.5000)
Ge (0.7500, 0.2500, 0.5000)
Te (0.5000, 0.5000, 0.0000)

Formation energy without anion corrections ... 0.231 eV per atom
Space-group type ... I4/mmm
DFT total energy ... -16.922 eV per cell

=====

A relaxed structure of CsAsBr. Source: Alexandria via LeMat-Bulk, functional PBE.

a = 6.8140 Å, b = 6.8140 Å, c = 10.6431 Å
α = 123.62°, β = 123.62°, γ = 41.52°
Positions (direct):
Cs (0.0205, 0.0205, 0.3208)
Cs (0.9795, 0.9795, 0.6792)
As (0.3972, 0.3972, 0.9468)
As (0.6028, 0.6028, 0.0532)
Br (0.3081, 0.3081, 0.3393)
Br (0.6919, 0.6919, 0.6607)

Formation energy without anion corrections ... -0.863 eV per atom
Space-group type ... C2/m
DFT total energy ... -19.527 eV per cell

=====

Number 1: total magnetization 0.0 Bohr magnetons per cell. Number 2: total magnetization 0.0 Bohr magnetons per cell. Number 3: total magnetization 0.0 Bohr magnetons per cell. Number 4: total magnetization 0.0 Bohr magnetons per cell.